No. 1
Here is crystalline Mg2CuTe at its relaxed geometry from the Alexandria database. Energies are from GGA-PBE.

a = 5.3593 Å, b = 5.3593 Å, c = 5.3593 Å
α = 132.75°, β = 133.16°, γ = 68.72°
Last column: nearest neighbours and their distance in Å.
Atoms (fractional coordinates):
Cu (0.2500, 0.7500, 0.5000)  4 Te 3.02, 8 Mg 3.07-3.09
Mg (0.9995, 0.9995, 0.0000)  4 Mg 3.02, 4 Cu 3.07-3.09, 4 Te 3.07-3.08
Mg (0.5005, 0.5005, 0.0000)  4 Mg 3.02, 4 Cu 3.07-3.09, 4 Te 3.07-3.08
Te (0.7500, 0.2500, 0.5000)  4 Cu 3.02, 8 Mg 3.07-3.08

Calculated values
- Energy relative to the elements, uncorrected: -0.046 eV/atom
- Offset from the most stable computed form: 181 meV per atom
- DFT total energy: -2.653 eV per atom

---

No. 2
Here is crystalline Mg2CuTe at its relaxed geometry from the Alexandria database. Energies are from GGA-PBE.

a = 4.9627 Å, b = 4.9627 Å, c = 4.9627 Å
α = 60.00°, β = 60.00°, γ = 60.00°
Last column: nearest neighbours and their distance in Å.
Atoms (fractional coordinates):
Cu (0.5000, 0.5000, 0.5000)  4 Te 3.04, 4 Mg 3.04
Mg (0.0000, 0.0000, 0.0000)  4 Mg 3.04, 4 Te 3.04
Mg (0.2500, 0.2500, 0.2500)  4 Cu 3.04, 4 Mg 3.04
Te (0.7500, 0.7500, 0.7500)  4 Cu 3.04, 4 Mg 3.04

Calculated values
- Energy relative to the elements, uncorrected: 0.139 eV/atom
- Offset from the most stable computed form: 365 meV per atom
- DFT total energy: -2.468 eV per atom

---

No. 3
Here is crystalline Mg2CuTe at its relaxed geometry from the Alexandria database. Energies are from GGA-PBE.

a = 5.2162 Å, b = 5.2162 Å, c = 8.7908 Å
α = 72.74°, β = 72.74°, γ = 90.00°
Last column: nearest neighbours and their distance in Å.
Atoms (fractional coordinates):
Mg (0.5735, 0.1250, 0.2500)  2 Cu 2.60, 2 Te 2.86
Mg (0.1765, 0.6250, 0.2500)  2 Cu 2.60, 2 Te 2.86
Mg (0.3750, 0.4265, 0.7500)  2 Cu 2.60, 2 Te 2.86
Mg (0.8750, 0.8235, 0.7500)  2 Cu 2.60, 2 Te 2.86
Te (0.0000, 0.0000, 0.0000)  4 Mg 2.86
Te (0.7500, 0.2500, 0.5000)  4 Mg 2.86
Cu (0.5000, 0.5000, 0.0000)  4 Mg 2.60
Cu (0.2500, 0.7500, 0.5000)  4 Mg 2.60

Calculated values
- Energy relative to the elements, uncorrected: -0.024 eV/atom
- Offset from the most stable computed form: 202 meV per atom
- DFT total energy: -2.631 eV per atom

---

No. 4
Here is crystalline Mg2CuTe2 at its relaxed geometry from the Alexandria database. Energies are from GGA-PBE.

a = 7.7500 Å, b = 7.7500 Å, c = 4.0340 Å
α = 90.00°, β = 90.00°, γ = 90.00°
Last column: nearest neighbours and their distance in Å.
Atoms (fractional coordinates):
Mg (0.1379, 0.6379, 0.5000)  6 Te 2.85-3.19, 1 Mg 3.02
Mg (0.6379, 0.8621, 0.5000)  6 Te 2.85-3.19, 1 Mg 3.02
Mg (0.8621, 0.3621, 0.5000)  6 Te 2.85-3.19, 1 Mg 3.02
Mg (0.3621, 0.1379, 0.5000)  6 Te 2.85-3.19, 1 Mg 3.02
Te (0.3222, 0.8222, 0.0000)  2 Cu 2.85, 6 Mg 2.85-3.19
Te (0.8222, 0.6778, 0.0000)  2 Cu 2.85, 6 Mg 2.85-3.19
Te (0.6778, 0.1778, 0.0000)  2 Cu 2.85, 6 Mg 2.85-3.19
Te (0.1778, 0.3222, 0.0000)  2 Cu 2.85, 6 Mg 2.85-3.19
Cu (0.0000, 0.0000, 0.0000)  4 Te 2.85
Cu (0.5000, 0.5000, 0.0000)  4 Te 2.85

Calculated values
- Energy relative to the elements, uncorrected: -0.208 eV/atom
- DFT total energy: -2.922 eV per atom

---

No. 5
Here is crystalline MgCuTe3 at its relaxed geometry from the Alexandria database. Energies are from GGA-PBE.

a = 5.1644 Å, b = 5.1644 Å, c = 5.1644 Å
α = 90.00°, β = 90.00°, γ = 90.00°
Last column: nearest neighbours and their distance in Å.
Atoms (fractional coordinates):
Mg (0.5000, 0.5000, 0.5000)  12 Te 3.65
Te (0.0000, 0.5000, 0.0000)  2 Cu 2.58
Te (0.0000, 0.0000, 0.5000)  2 Cu 2.58
Te (0.5000, 0.0000, 0.0000)  2 Cu 2.58
Cu (0.0000, 0.0000, 0.0000)  6 Te 2.58

Calculated values
- Energy relative to the elements, uncorrected: 0.236 eV/atom
- Offset from the most stable computed form: 0 meV per atom
- DFT total energy: -2.788 eV per atom

---

No. 6
Here is crystalline Mg2CuTe at its relaxed geometry from the Alexandria database. Energies are from GGA-PBE.

a = 4.9485 Å, b = 4.9485 Å, c = 4.9485 Å
α = 60.00°, β = 60.00°, γ = 60.00°
Last column: nearest neighbours and their distance in Å.
Atoms (fractional coordinates):
Mg (0.2500, 0.2500, 0.2500)  4 Te 3.03, 4 Cu 3.03
Mg (0.7500, 0.7500, 0.7500)  4 Te 3.03, 4 Cu 3.03
Te (0.5000, 0.5000, 0.5000)  8 Mg 3.03
Cu (0.0000, 0.0000, 0.0000)  8 Mg 3.03

Calculated values
- Energy relative to the elements, uncorrected: -0.002 eV/atom
- Offset from the most stable computed form: 224 meV per atom
- DFT total energy: -2.609 eV per atom

---

No. 7
Here is crystalline Mg4CuTe at its relaxed geometry from the Alexandria database. Energies are from GGA-PBE.

a = 5.7700 Å, b = 5.7700 Å, c = 5.7700 Å
α = 60.00°, β = 60.00°, γ = 60.00°
Last column: nearest neighbours and their distance in Å.
Atoms (fractional coordinates):
Mg (0.3750, 0.8750, 0.3750)  6 Mg 2.88-2.89
Mg (0.8750, 0.3750, 0.3750)  6 Mg 2.88-2.89
Mg (0.3750, 0.3750, 0.8750)  6 Mg 2.88-2.89
Mg (0.3750, 0.3750, 0.3750)  6 Mg 2.88-2.89
Cu (0.0000, 0.0000, 0.0000)  12 Mg 3.38, 4 Te 3.53
Te (0.7500, 0.7500, 0.7500)  12 Mg 3.38, 4 Cu 3.53

Calculated values
- Energy relative to the elements, uncorrected: 0.194 eV/atom
- DFT total energy: -2.075 eV per atom

---

No. 8
Here is crystalline YMgCuTe3 at its relaxed geometry from the Alexandria database. Energies are from GGA-PBE.

a = 4.1053 Å, b = 8.2748 Å, c = 9.7568 Å
α = 99.45°, β = 90.00°, γ = 90.00°
Last column: nearest neighbours and their distance in Å.
Atoms (fractional coordinates):
Y (0.2500, 0.1828, 0.2764)  6 Te 3.10-3.16, 3 Cu 3.20-3.39
Y (0.7500, 0.8172, 0.7236)  6 Te 3.10-3.16, 3 Cu 3.20-3.39
Mg (0.2500, 0.6599, 0.1592)  6 Te 2.94-3.05
Mg (0.7500, 0.3401, 0.8408)  6 Te 2.94-3.05
Cu (0.2500, 0.0625, 0.5720)  2 Cu 2.60, 4 Te 2.64-2.71
Cu (0.7500, 0.9375, 0.4280)  2 Cu 2.60, 4 Te 2.64-2.71
Te (0.7500, 0.9175, 0.1547)  1 Cu 2.64
Te (0.2500, 0.0825, 0.8453)  1 Cu 2.64
Te (0.2500, 0.7397, 0.4752)  3 Cu 2.68-2.71
Te (0.7500, 0.2603, 0.5248)  3 Cu 2.68-2.71
Te (0.7500, 0.4016, 0.1468)  3 Mg 2.94-2.95, 2 Y 3.14
Te (0.2500, 0.5984, 0.8532)  3 Mg 2.94-2.95, 2 Y 3.14

Calculated values
- Energy relative to the elements, uncorrected: -0.875 eV/atom
- DFT total energy: -4.471 eV per atom

---

No. 9
Here is crystalline ThMg2Cu9 at its relaxed geometry from the Alexandria database. Energies are from GGA-PBE.

a = 5.0889 Å, b = 5.0889 Å, c = 8.5540 Å
α = 72.70°, β = 72.70°, γ = 60.00°
Last column: nearest neighbours and their distance in Å.
Atoms (fractional coordinates):
Th (0.0000, 0.0000, 0.0000)  18 Cu 2.94-3.27
Mg (0.8539, 0.8539, 0.4382)  12 Cu 2.86-2.98, 3 Mg 3.10
Mg (0.1461, 0.1461, 0.5618)  12 Cu 2.86-2.98, 3 Mg 3.10
Cu (0.6669, 0.6669, 0.9992)  6 Cu 2.51-2.53
Cu (0.3331, 0.3331, 0.0008)  6 Cu 2.51-2.53
Cu (0.5000, 0.5000, 0.5000)  6 Cu 2.46
Cu (0.4138, 0.4138, 0.2551)  7 Cu 2.46-2.56
Cu (0.9173, 0.4138, 0.2551)  7 Cu 2.46-2.56
Cu (0.4138, 0.9173, 0.2551)  7 Cu 2.46-2.56
Cu (0.5862, 0.5862, 0.7449)  7 Cu 2.46-2.56
Cu (0.5862, 0.0827, 0.7449)  7 Cu 2.46-2.56
Cu (0.0827, 0.5862, 0.7449)  7 Cu 2.46-2.56

Calculated values
- ΔH_f (0 K): -0.1646 eV per atom
- DFT total energy: -4.121 eV per atom

---

No. 10
Here is crystalline ThMg3Cu8 at its relaxed geometry from the Alexandria database. Energies are from GGA-PBE.

a = 5.0786 Å, b = 5.0786 Å, c = 8.8558 Å
α = 73.34°, β = 73.34°, γ = 60.00°
Last column: nearest neighbours and their distance in Å.
Atoms (fractional coordinates):
Th (0.8771, 0.8771, 0.3686)  12 Cu 2.99-3.07, 4 Mg 3.24
Mg (0.3715, 0.3715, 0.8854)  12 Cu 2.85-3.02, 4 Mg 2.95-3.04
Mg (0.0062, 0.0062, 0.9813)  12 Cu 2.83-3.02, 3 Mg 3.04
Mg (0.4890, 0.4890, 0.5329)  9 Cu 2.86-3.03, 1 Mg 2.95
Cu (0.9403, 0.4409, 0.1779)  6 Cu 2.50-2.64
Cu (0.4348, 0.9372, 0.6909)  6 Cu 2.51-2.55
Cu (0.4409, 0.4409, 0.1779)  6 Cu 2.50-2.64
Cu (0.9372, 0.9372, 0.6909)  6 Cu 2.51-2.55
Cu (0.1864, 0.1864, 0.4407)  6 Cu 2.55-2.64
Cu (0.6884, 0.6884, 0.9347)  6 Cu 2.50-2.51
Cu (0.4409, 0.9403, 0.1779)  6 Cu 2.50-2.64
Cu (0.9372, 0.4348, 0.6909)  6 Cu 2.51-2.55

Calculated values
- ΔH_f (0 K): -0.1458 eV per atom
- DFT total energy: -3.894 eV per atom